# 1
The following is a GGA-PBE calculation of crystalline HfCdNiPd at its relaxed geometry, from Alexandria.

Calculated values
* SG: F-43m (216)
* formation energy from the elements: -0.407 eV per atom
* final energy: -5.868 eV per atom

Lattice parameters (Å, degrees): 4.5515 4.5515 4.5515 60.00 60.00 60.00
Last column: nearest neighbours and their distance in Å.
Fractional coordinates of all 4 atoms:
1 Hf 0.0000 0.0000 0.0000  4 Ni 2.79, 4 Pd 2.79
2 Cd 0.5000 0.5000 0.5000  4 Ni 2.79, 4 Pd 2.79
3 Ni 0.7500 0.7500 0.7500  4 Hf 2.79, 4 Cd 2.79
4 Pd 0.2500 0.2500 0.2500  4 Cd 2.79, 4 Hf 2.79



# 2
The following is a GGA-PBE calculation of crystalline Dy5AlAg4 at its relaxed geometry, from Alexandria.

Calculated values
* SG: P4/mmm (123)
* formation energy from the elements: -0.337 eV per atom
* final energy: -4.153 eV per atom

Lattice parameters (Å, degrees): 3.6051 3.6051 18.3955 90.00 90.00 90.00
Last column: nearest neighbours and their distance in Å.
Fractional coordinates of all 10 atoms:
1 Dy 0.0000 0.0000 0.0000  8 Ag 3.14
2 Dy 0.0000 0.0000 0.2009  8 Ag 3.16
3 Dy 0.0000 0.0000 0.4011  4 Ag 3.13, 4 Al 3.13
4 Dy 0.0000 0.0000 0.5989  4 Ag 3.13, 4 Al 3.13
5 Dy 0.0000 0.0000 0.7991  8 Ag 3.16
6 Al 0.5000 0.5000 0.5000  8 Dy 3.13
7 Ag 0.5000 0.5000 0.0994  8 Dy 3.14-3.16
8 Ag 0.5000 0.5000 0.3024  8 Dy 3.13-3.16
9 Ag 0.5000 0.5000 0.6976  8 Dy 3.13-3.16
10 Ag 0.5000 0.5000 0.9006  8 Dy 3.14-3.16



# 3
The following is a GGA-PBE calculation of crystalline Li2La2GaPd5 at its relaxed geometry, from Alexandria.

Calculated values
* SG: P4/mbm (127)
* formation energy from the elements: -0.648 eV per atom
* final energy: -4.915 eV per atom

Lattice parameters (Å, degrees): 9.6835 9.6835 3.7908 90.00 90.00 90.00
Last column: nearest neighbours and their distance in Å.
Fractional coordinates of all 20 atoms:
1 Li 0.1191 0.3809 0.0000  6 Pd 2.50-2.61, 1 La 2.75
2 Li 0.3809 0.8809 0.0000  6 Pd 2.50-2.61, 1 La 2.75
3 Li 0.6191 0.1191 0.0000  6 Pd 2.50-2.61, 1 La 2.75
4 Li 0.8809 0.6191 0.0000  6 Pd 2.50-2.61, 1 La 2.75
5 La 0.1803 0.6803 0.0000  3 Li 2.75-2.96
6 La 0.3197 0.1803 0.0000  3 Li 2.75-2.96
7 La 0.6803 0.8197 0.0000  3 Li 2.75-2.96
8 La 0.8197 0.3197 0.0000  3 Li 2.75-2.96
9 Ga 0.0000 0.0000 0.0000  8 Pd 2.81
10 Ga 0.5000 0.5000 0.0000  8 Pd 2.81
11 Pd 0.0000 0.5000 0.5000  4 Li 2.50
12 Pd 0.0635 0.2045 0.5000  2 Li 2.61, 2 Ga 2.81
13 Pd 0.2045 0.9365 0.5000  2 Li 2.61, 2 Ga 2.81
14 Pd 0.2955 0.4365 0.5000  2 Li 2.61, 2 Ga 2.81
15 Pd 0.4365 0.7045 0.5000  2 Li 2.61, 2 Ga 2.81
16 Pd 0.5000 0.0000 0.5000  4 Li 2.50
17 Pd 0.5635 0.2955 0.5000  2 Li 2.61, 2 Ga 2.81
18 Pd 0.7045 0.5635 0.5000  2 Li 2.61, 2 Ga 2.81
19 Pd 0.7955 0.0635 0.5000  2 Li 2.61, 2 Ga 2.81
20 Pd 0.9365 0.7955 0.5000  2 Li 2.61, 2 Ga 2.81



# 4
The following is a GGA-PBE calculation of crystalline BaSeF2 at its relaxed geometry, from Alexandria.

Calculated values
* SG: Fm-3m (225)
* final energy: -4.330 eV per atom
* energy relative to the elements, uncorrected: -2043 meV per atom
* excess energy over the best structure of this formula in the dataset: 4.67 kcal/mol of atoms

Lattice parameters (Å, degrees): 4.8483 4.8483 4.8483 60.00 60.00 60.00
Last column: nearest neighbours and their distance in Å.
Fractional coordinates of all 4 atoms:
1 Ba 0.0000 0.0000 0.0000  8 F 2.97
2 Se 0.5000 0.5000 0.5000  8 F 2.97
3 F 0.2500 0.2500 0.2500  4 Se 2.97, 4 Ba 2.97
4 F 0.7500 0.7500 0.7500  4 Ba 2.97, 4 Se 2.97



# 5
The following is a GGA-PBE calculation of crystalline K3AuI6 at its relaxed geometry, from Alexandria.

Calculated values
* SG: P2_1/c (14)
* final energy: -2.487 eV per atom
* energy relative to the elements, uncorrected: -900 meV per atom
* excess energy over the best structure of this formula in the dataset: 0.00 kcal/mol of atoms

Lattice parameters (Å, degrees): 5.3949 8.6618 20.0221 90.00 102.64 90.00
Last column: nearest neighbours and their distance in Å.
Fractional coordinates of all 20 atoms:
1 K 0.0000 0.0000 0.0000  8 I 3.64-3.84
2 K 0.0000 0.5000 0.5000  8 I 3.64-3.84
3 K 0.1704 0.1430 0.7073  6 I 3.48-3.76
4 K 0.1704 0.3570 0.2073  6 I 3.48-3.76
5 K 0.8296 0.6430 0.7927  6 I 3.48-3.76
6 K 0.8296 0.8570 0.2927  6 I 3.48-3.76
7 Au 0.5000 0.0000 0.5000  4 I 2.68-2.72
8 Au 0.5000 0.5000 0.0000  4 I 2.68-2.72
9 I 0.1480 0.1614 0.4087  1 Au 2.72
10 I 0.1480 0.3386 0.9087  1 Au 2.72
11 I 0.2470 0.5448 0.6880  4 K 3.48-3.73, 1 I 3.60
12 I 0.2470 0.9552 0.1880  4 K 3.48-3.73, 1 I 3.60
13 I 0.4290 0.7480 0.9181  1 Au 2.68
14 I 0.4290 0.7520 0.4181  1 Au 2.68
15 I 0.5710 0.2480 0.5819  1 Au 2.68
16 I 0.5710 0.2520 0.0819  1 Au 2.68
17 I 0.7530 0.0448 0.8120  4 K 3.48-3.73, 1 I 3.60
18 I 0.7530 0.4552 0.3120  4 K 3.48-3.73, 1 I 3.60
19 I 0.8520 0.6614 0.0913  1 Au 2.72
20 I 0.8520 0.8386 0.5913  1 Au 2.72



# 6
The following is a GGA-PBE calculation of crystalline Th3As2PtRh9 at its relaxed geometry, from Alexandria.

Calculated values
* SG: P-3m1 (164)
* formation energy from the elements: -0.370 eV per atom
* final energy: -7.287 eV per atom

Lattice parameters (Å, degrees): 7.6282 7.6282 6.0199 90.00 90.00 120.00
Last column: nearest neighbours and their distance in Å.
Fractional coordinates of all 15 atoms:
1 Th 0.0000 0.0000 0.0000  2 Pt 3.01, 6 Rh 3.07
2 Th 0.3333 0.6667 0.6479  6 Rh 2.82-3.06, 2 As 3.00-3.02
3 Th 0.6667 0.3333 0.3521  6 Rh 2.82-3.06, 2 As 3.00-3.02
4 As 0.3333 0.6667 0.1456  6 Rh 2.37
5 As 0.6667 0.3333 0.8544  6 Rh 2.37
6 Pt 0.0000 0.0000 0.5000  6 Rh 2.53
7 Rh 0.0000 0.5000 0.0000  2 As 2.37
8 Rh 0.1756 0.3511 0.3335  1 As 2.37, 1 Pt 2.53
9 Rh 0.1756 0.8244 0.3335  1 As 2.37, 1 Pt 2.53
10 Rh 0.3511 0.1756 0.6665  1 As 2.37, 1 Pt 2.53
11 Rh 0.5000 0.0000 0.0000  2 As 2.37
12 Rh 0.5000 0.5000 0.0000  2 As 2.37
13 Rh 0.6489 0.8244 0.3335  1 As 2.37, 1 Pt 2.53
14 Rh 0.8244 0.1756 0.6665  1 As 2.37, 1 Pt 2.53
15 Rh 0.8244 0.6489 0.6665  1 As 2.37, 1 Pt 2.53